# 1
Entry from the Alexandria database: a relaxed NaTcN3 crystal (GGA-PBE).

Cell lengths 3.889, 3.889, 3.889 Å; angles 90.00, 90.00, 90.00 degrees
Element x y z (fractional)
Na 0.000 0.000 0.000
Tc 0.500 0.500 0.500
N 0.000 0.500 0.500
N 0.500 0.000 0.500
N 0.500 0.500 0.000

Results
- Electronic total energy: -6.844 eV/atom


# 2
Entry from the Alexandria database: a relaxed Pm6Ge3O2 crystal (GGA-PBE).

Cell lengths 12.688, 12.688, 12.688 Å; angles 158.73, 158.73, 30.25 degrees
Element x y z (fractional)
Pm 0.080 0.580 0.500
Pm 0.198 0.198 0.000
Pm 0.420 0.920 0.500
Pm 0.580 0.080 0.500
Pm 0.802 0.802 0.000
Pm 0.920 0.420 0.500
Ge 0.324 0.324 0.000
Ge 0.500 0.500 0.000
Ge 0.676 0.676 0.000
O 0.101 0.101 0.000
O 0.899 0.899 0.000

Results
- Electronic total energy: -6.256 eV/atom


# 3
Entry from the Alexandria database: a relaxed ZrAgB2Mo crystal (GGA-PBE).

Cell lengths 4.237, 4.237, 5.041 Å; angles 90.00, 90.00, 90.00 degrees
Element x y z (fractional)
Zr 0.000 0.000 0.000
Ag 0.500 0.500 0.000
B 0.000 0.500 0.500
B 0.500 0.000 0.500
Mo 0.000 0.000 0.500

Results
- Energy of formation from the pure elements: 1157.9 meV per atom


# 4
Entry from the Alexandria database: a relaxed KNaMo2 crystal (GGA-PBE).

Cell lengths 6.804, 6.804, 6.804 Å; angles 97.24, 97.24, 138.42 degrees
Element x y z (fractional)
K 0.000 0.000 0.000
K 0.750 0.250 0.500
Na 0.250 0.750 0.500
Na 0.500 0.500 0.000
Mo 0.146 0.625 0.021
Mo 0.375 0.396 0.521
Mo 0.604 0.125 0.979
Mo 0.875 0.854 0.479

Results
- Energy of formation from the pure elements: 1899.2 meV per atom
- Energy relative to the lowest polymorph listed for this composition: 0 meV/atom


no.,Fermi-level density of states (states/eV/f.u.)
1,2.7
2,6.6
3,2.2
4,6.0